{
  "formula": "La3PmHo2",
  "functional": "GGA-PBE",
  "state": "optimized geometry",
  "e_tot_ev_per_cell": -57.137,
  "total_magnetization_mub_per_cell": 0.00,
  "cell": [[5.9216, 1.2675, -1.7921], [0.4493, 6.0391, -1.7921], [-0.6782, -0.7778, 12.1191]],
  "species": ["La", "La", "La", "La", "La", "La", "Pm", "Pm", "Ho", "Ho", "Ho", "Ho"],
  "frac_coords": [[0.7923, 0.5415, 0.5834], [0.4585, 0.2077, 0.9166], [0.2077, 0.4585, 0.4166], [0.5415, 0.7923, 0.0834], [0.6249, 0.3751, 0.2500], [0.3751, 0.6249, 0.7500], [0.1246, 0.8754, 0.2500], [0.8754, 0.1246, 0.7500], [0.0405, 0.2907, 0.0815], [0.7093, 0.9595, 0.4185], [0.9595, 0.7093, 0.9185], [0.2907, 0.0405, 0.5815]]
}